Entry 1:
{
  "formula": "AgIr2Cl",
  "functional": "PBE",
  "state": "optimized geometry",
  "raw_formation_energy_kj_per_mol_atoms": 96.4,
  "total_magnetization_mub_per_fu": 1.5,
  "volume_a3_per_cell": 66,
  "lattice_angstrom": [[0.0000, 3.2040, 3.2040], [3.2040, 0.0000, 3.2040], [3.2040, 3.2040, 0.0000]],
  "species": ["Ag", "Ir", "Ir", "Cl"],
  "frac_coords": [[0.0000, 0.0000, 0.0000], [0.2500, 0.2500, 0.2500], [0.5000, 0.5000, 0.5000], [0.7500, 0.7500, 0.7500]]
}



Entry 2:
{
  "formula": "Ag2IrCl",
  "functional": "PBE",
  "state": "optimized geometry",
  "raw_formation_energy_kj_per_mol_atoms": 60.3,
  "total_magnetization_mub_per_fu": 0.0,
  "volume_a3_per_cell": 69,
  "lattice_angstrom": [[4.8216, 0.0000, 0.0000], [0.0000, 2.9251, 0.0000], [-1.3336, 0.0000, 4.8842]],
  "species": ["Ag", "Ag", "Ir", "Cl"],
  "frac_coords": [[0.0000, 0.0000, 0.0000], [0.5000, 0.5000, 0.0000], [0.0000, 0.5000, 0.5000], [0.5000, 0.0000, 0.5000]]
}



Entry 3:
{
  "formula": "Ag5Ir2Cl12",
  "functional": "PBE",
  "state": "optimized geometry",
  "raw_formation_energy_kj_per_mol_atoms": -41.4,
  "total_magnetization_mub_per_fu": 0.0,
  "volume_a3_per_cell": 470,
  "lattice_angstrom": [[7.1757, -3.5976, 0.0000], [7.1757, 3.5976, 0.0000], [-2.7608, 0.0000, 9.1086]],
  "species": ["Ag", "Ag", "Ag", "Ag", "Ag", "Ir", "Ir", "Cl", "Cl", "Cl", "Cl", "Cl", "Cl", "Cl", "Cl", "Cl", "Cl", "Cl", "Cl"],
  "frac_coords": [[0.0000, 0.0000, 0.0000], [0.2599, 0.2599, 0.7938], [0.2966, 0.2966, 0.1271], [0.7034, 0.7034, 0.8729], [0.7401, 0.7401, 0.2062], [0.2506, 0.7494, 0.5000], [0.7494, 0.2506, 0.5000], [0.0264, 0.0264, 0.3532], [0.0942, 0.5715, 0.3722], [0.1107, 0.6200, 0.9580], [0.3800, 0.8893, 0.0420], [0.4285, 0.9058, 0.6278], [0.4750, 0.4750, 0.6491], [0.5250, 0.5250, 0.3509], [0.5715, 0.0942, 0.3722], [0.6200, 0.1107, 0.9580], [0.8893, 0.3800, 0.0420], [0.9058, 0.4285, 0.6278], [0.9736, 0.9736, 0.6468]]
}